Hf3CdPd12 | PBE-GGA | optimized geometry

Calculated values
The value obtained for the total energy is -6.57 eV/atom.

Cell: 4.0163 4.0163 16.0784 Å, 90.00 90.00 90.00°
Closest atoms and distances in Å follow each position.
Element x y z (fractional)
Hf (0.0000, 0.0000, 0.2471)  12 Pd 2.75-2.89
Hf (0.0000, 0.0000, 0.5000)  12 Pd 2.82-2.84
Hf (0.0000, 0.0000, 0.7529)  12 Pd 2.75-2.89
Cd (0.0000, 0.0000, 0.0000)  12 Pd 2.84-2.90
Pd (0.5000, 0.5000, 0.0000)  4 Cd 2.84, 8 Pd 2.90
Pd (0.5000, 0.5000, 0.2535)  8 Pd 2.82, 4 Hf 2.84
Pd (0.5000, 0.5000, 0.5000)  8 Pd 2.82, 4 Hf 2.84
Pd (0.5000, 0.5000, 0.7465)  8 Pd 2.82, 4 Hf 2.84
Pd (0.5000, 0.0000, 0.1302)  2 Hf 2.75, 8 Pd 2.82-2.90, 2 Cd 2.90
Pd (0.5000, 0.0000, 0.3767)  8 Pd 2.82-2.84, 4 Hf 2.82-2.89
Pd (0.5000, 0.0000, 0.6233)  8 Pd 2.82-2.84, 4 Hf 2.82-2.89
Pd (0.5000, 0.0000, 0.8698)  2 Hf 2.75, 8 Pd 2.82-2.90, 2 Cd 2.90
Pd (0.0000, 0.5000, 0.1302)  2 Hf 2.75, 8 Pd 2.82-2.90, 2 Cd 2.90
Pd (0.0000, 0.5000, 0.3767)  8 Pd 2.82-2.84, 4 Hf 2.82-2.89
Pd (0.0000, 0.5000, 0.6233)  8 Pd 2.82-2.84, 4 Hf 2.82-2.89
Pd (0.0000, 0.5000, 0.8698)  2 Hf 2.75, 8 Pd 2.82-2.90, 2 Cd 2.90